1.
Cs2NiI4 | GGA-PBE | relaxed Values from VASP.

The structure in Quantum ESPRESSO input format:
```
&SYSTEM
  ibrav = 0, nat = 28, ntyp = 3
/
ATOMIC_SPECIES
I 126.90 I.upf
Cs 132.91 Cs.upf
Ni 58.69 Ni.upf
ATOMIC_POSITIONS angstrom
I -3.1346 -13.7063 -2.8124
I 7.1128 -7.4428 -4.3650
I -0.2001 -10.2763 -2.0511
Cs 0.0171 -6.2844 -0.8112
Cs 6.8956 -11.4347 -5.6050
I 0.6984 -9.4320 1.8625
Ni 1.8090 -1.8493 -2.1793
I 6.2144 -8.2871 -8.2787
Cs 5.9967 -3.0639 -2.8786
Cs 3.4672 -10.6843 -0.6540
Ni 5.1037 -15.8698 -4.2369
I 5.6790 -3.8897 -6.9534
Ni 0.4652 -9.7916 -4.4833
I 10.0473 -4.0128 -3.6038
I 1.2600 -4.3994 -7.9800
I 2.7959 -10.8262 -4.7952
Cs 0.9160 -14.6552 -3.5376
Cs 3.4455 -7.0348 -5.7622
I 4.7543 -14.1640 -2.3498
Cs 8.4821 -14.1532 -1.0569
I 5.6528 -13.3197 1.5638
I 7.2512 -10.3460 -1.5957
I 4.1168 -6.8929 -1.6210
Ni 6.4475 -7.9275 -1.9329
Cs -1.5693 -3.5660 -5.3592
I 1.2337 -13.8294 0.5372
I 2.1584 -3.5551 -4.0663
I -0.3385 -7.3731 -4.8205
CELL_PARAMETERS angstrom
-1.8069 -1.6979 -7.8706
10.7344 -2.0513 -2.0218
-2.0148 -13.9700 3.4762
```

Summary:
Its total moment is 2.0 μB per formula unit. The value obtained for the calculated total energy is -80.146 eV/cell. Its mass density is 4.1 g cm⁻³.

2.
Cs3Ni5I12 | GGA-PBE | relaxed Values from VASP.

The structure in Quantum ESPRESSO input format:
```
&SYSTEM
  ibrav = 0, nat = 80, ntyp = 3
/
ATOMIC_SPECIES
I 126.90 I.upf
Cs 132.91 Cs.upf
Ni 58.69 Ni.upf
ATOMIC_POSITIONS angstrom
I -12.8985 -3.7727 1.9060
I -2.8418 -11.9370 0.9287
Cs -1.8048 -12.0948 -6.5873
I -6.2348 -6.6811 -9.5295
I -6.9459 0.7004 -11.6674
Cs -9.6106 -4.1396 -0.0568
I -5.2000 -13.1928 -5.1503
I -6.4367 -1.3908 -6.0474
I -12.6306 -4.0043 -2.2336
I 0.1181 -2.1135 -5.2699
I -5.3950 3.3944 -2.5498
Cs -7.2842 4.4649 -10.9517
Ni -4.6272 -0.4381 -11.3849
I -4.9457 -2.8378 -10.4403
Ni -4.6880 -6.7431 -0.5832
I -7.3125 7.0749 -2.3532
I -1.2649 -11.3460 -2.9782
Ni -1.1767 -3.5182 -3.5085
I -8.9051 -2.2088 -3.1635
Ni -3.4505 3.0801 -7.8764
Ni -12.8079 -3.0762 4.4079
Ni 2.1776 -2.4375 -7.2034
Cs -4.4618 -7.1918 -6.1541
I -5.5666 -6.8182 4.1639
I -11.2864 -3.8745 -6.2587
I -6.2777 0.5632 2.0260
I -10.1962 -0.5589 1.2211
Ni -12.2676 0.7633 0.3764
Cs -7.5104 4.9136 -5.3809
Cs -5.2283 -10.5827 3.4482
Ni -6.2562 -3.0589 -3.7517
I 0.3860 -2.3451 -9.4095
I -7.4637 -5.2883 -5.0390
Cs -2.9019 -1.9782 -7.4467
Ni -5.6281 5.5177 -0.6730
I -9.4190 -0.1819 -8.8066
Ni 0.2954 -3.0416 -11.9113
Cs -5.0021 -11.0314 -2.1226
I -5.2506 4.5685 -14.0712
I 0.7011 -8.3416 -9.8098
I -4.7129 -10.4302 -8.2151
Ni -7.8853 -5.6797 3.8814
I -14.8189 -1.5231 4.9518
I -3.0935 -5.9359 1.3031
Ni -3.8337 1.3847 -3.0753
Ni -8.6788 -7.5025 -4.4282
I -5.0488 -0.8295 -2.4645
I -6.2906 -8.5625 0.3517
I -9.6707 5.8191 -8.4322
I 2.3064 -4.5947 -12.4553
I -3.2923 -7.7471 -2.5317
I -3.1727 0.9476 -9.7366
I -3.6074 -3.9090 -4.3400
Cs -8.0507 1.0740 -1.3494
Ni -0.2449 -6.8811 -7.8799
Ni -0.6281 -8.5766 -3.0788
I -7.2619 -10.6863 6.5677
Cs -8.1385 -3.6630 -8.4596
I -9.3398 -7.0654 2.2332
I -7.1175 -9.5122 -4.9537
Ni -8.4339 -0.6214 3.4517
I -0.9499 -8.4079 -5.8989
I -7.7996 4.3124 0.7116
I -9.2718 -7.5000 -1.8983
I -7.5668 -3.2800 2.9368
Cs -4.3740 -2.4548 0.9562
Ni -11.3358 -2.5996 -3.9950
I -3.2407 1.3822 -5.6052
I -11.2476 5.2282 -4.5253
I -9.2202 1.6293 -4.9718
I -13.2136 2.2237 2.3063
I -11.5626 2.2901 -1.6046
Ni 0.0000 0.0000 0.0000
I -2.3163 -5.5589 -8.7246
Ni -2.8058 -6.1391 4.1247
I -6.0758 -4.7270 -1.4561
Cs -10.7077 5.9770 -0.9162
I -6.2219 2.4447 -7.8552
Ni -7.8245 0.6253 -6.9202
I -1.2261 -2.2433 -1.2448
CELL_PARAMETERS angstrom
-11.2562 11.0353 -1.3459
4.3553 -4.8750 -14.4069
-5.6115 -12.2781 8.2493
```

Summary:
Its total moment is 8.5 μB per formula unit. The value obtained for the calculated total energy is -231.282 eV/cell. Its mass density is 4.8 g cm⁻³.

3.
Cs3Ni2I9 | GGA-PBE | relaxed Values from VASP.

The structure in Quantum ESPRESSO input format:
```
&SYSTEM
  ibrav = 0, nat = 28, ntyp = 3
/
ATOMIC_SPECIES
I 126.90 I.upf
Cs 132.91 Cs.upf
Ni 58.69 Ni.upf
ATOMIC_POSITIONS angstrom
I -13.5669 -12.1232 6.0429
I -6.5714 -3.6237 -4.1123
I -6.6723 -11.8244 3.0528
I -11.9368 -10.7078 2.8044
I -9.7275 -11.8546 5.4639
Cs -10.7119 -6.9338 0.3947
I -9.9834 -13.7508 2.3642
I -7.3163 -4.8531 1.0798
Cs -11.8000 -8.4654 6.1524
I -8.9826 -10.6252 0.2719
I -11.5242 -15.3051 5.5826
I -8.7150 -8.6424 3.5132
I -6.3155 -1.7275 -1.0125
Ni -11.8567 -13.0424 4.2259
I -2.7320 -3.3551 -4.6913
Cs -5.5870 -8.5445 0.9569
Cs -3.9333 -2.8218 2.0508
I -13.8345 -14.1060 2.8016
Ni -9.2418 -11.1664 2.8625
Cs -16.5208 -11.1011 3.4234
Ni -7.0571 -4.3119 -1.5109
Cs 0.2219 -4.3772 -2.0718
I -4.3621 -4.7705 -1.4528
I -4.7747 -0.1731 -4.2309
I -2.4644 -1.3723 -1.4500
Ni -4.4422 -2.4359 -2.8742
I -7.5839 -6.8358 -2.1616
I -9.6266 -3.6539 -1.7012
CELL_PARAMETERS angstrom
-4.8834 2.5348 -5.8784
4.3179 -6.7260 -0.9731
-15.7333 -11.2871 8.2032
```

Summary:
Its total moment is 2.0 μB per formula unit. The value obtained for the calculated total energy is -75.347 eV/cell. Its mass density is 4.7 g cm⁻³.